[1]
## NaPrDy (GGA-PBE)

Data for a geometry-optimized NaPrDy structure.

Lattice parameters (Å, degrees): 6.583 6.768 6.411 75.54 59.11 60.90
Fractional positions:
Dy (0.750, 0.500, 0.500)
Dy (0.250, 0.500, 0.500)
Na (0.869, 0.263, 0.000)
Na (0.131, 0.737, 0.000)
Pr (0.671, 0.000, 0.657)
Pr (0.329, 0.000, 0.343)

Computed properties:
ΔH_f (0 K)	1.20	eV per formula unit
N(E_F)	1.32	states/eV/atom
relative energy among the computed polymorphs	300	meV per atom
final energy	-3.17	eV/atom

***

[2]
## NaPr4Dy3S8 (GGA-PBE)

Data for a geometry-optimized NaPr4Dy3S8 structure.

Lattice parameters (Å, degrees): 7.995 8.079 7.995 119.66 120.00 90.00
Fractional positions:
Na (0.000, 0.500, 0.000)
Pr (0.500, 0.000, 0.000)
Pr (0.500, 0.000, 0.500)
Pr (0.000, 0.000, 0.000)
Pr (0.000, 0.000, 0.500)
Dy (0.500, 0.500, 0.000)
Dy (0.500, 0.500, 0.500)
Dy (0.000, 0.500, 0.500)
S (0.246, 0.733, 0.987)
S (0.246, 0.733, 0.491)
S (0.256, 0.268, 0.512)
S (0.742, 0.733, 0.987)
S (0.258, 0.267, 0.013)
S (0.744, 0.732, 0.488)
S (0.754, 0.267, 0.509)
S (0.754, 0.267, 0.013)

Computed properties:
uncorrected formation energy	-1.96	eV per atom
N(E_F)	0.52	states/eV/atom
final energy	-6.16	eV/atom

***

> Which formula does entry 1 have?

NaPrDy